(1)
The following is a PBE-GGA calculation of a relaxed structure of BaSrPtBr, from the Alexandria database.

M_tot	0.00	μB per formula unit
space-group type	R3m
E	-16.279	eV per cell
uncorrected formation energy	-1.24	eV/atom

a b c (Å): 4.433 4.433 8.642
angles (deg): 90.00 104.86 120.00
Positions (direct):
Ba 0.498 0.147 0.661
Sr 0.111 0.954 0.080
Pt 0.311 0.553 0.880
Br 0.958 0.377 0.349

---

(2)
The following is a PBE-GGA calculation of a relaxed structure of Ba6TePt2Br3, from the Alexandria database.

M_tot	0.00	μB per formula unit
space-group type	C2/m
E	-48.845	eV per cell
uncorrected formation energy	-1.42	eV/atom

a b c (Å): 4.676 10.008 10.844
angles (deg): 105.69 102.45 90.00
Positions (direct):
Ba 0.328 0.879 0.657
Ba 0.677 0.563 0.355
Ba 0.672 0.121 0.343
Ba 0.016 0.257 0.033
Ba 0.984 0.743 0.967
Ba 0.323 0.437 0.645
Te 0.500 0.000 0.000
Pt 0.831 0.663 0.663
Pt 0.169 0.337 0.337
Br 0.500 0.500 0.000
Br 0.841 0.160 0.682
Br 0.159 0.840 0.318

---

(3)
The following is a PBE-GGA calculation of a relaxed structure of Ba6TlPt2Br3, from the Alexandria database.

M_tot	0.00	μB per formula unit
space-group type	C2/m
E	-45.012	eV per cell
uncorrected formation energy	-1.17	eV/atom

a b c (Å): 4.614 10.127 11.051
angles (deg): 108.05 102.05 90.00
Positions (direct):
Ba 0.333 0.888 0.667
Ba 0.679 0.560 0.357
Ba 0.667 0.112 0.333
Ba 0.012 0.259 0.024
Ba 0.988 0.741 0.976
Ba 0.321 0.440 0.643
Tl 0.500 0.000 0.000
Pt 0.833 0.666 0.666
Pt 0.167 0.334 0.334
Br 0.500 0.500 0.000
Br 0.834 0.173 0.667
Br 0.166 0.827 0.333

---

(4)
The following is a PBE-GGA calculation of a relaxed structure of BaY2PtBr, from the Alexandria database.

M_tot	0.00	μB per formula unit
space-group type	P4/mmm
E	-17.265	eV per cell
uncorrected formation energy	1.06	eV/atom

a b c (Å): 5.990 5.609 5.990
angles (deg): 90.00 90.00 90.00
Positions (direct):
Y 0.000 0.000 0.500
Y 0.500 0.000 0.000
Br 0.000 0.500 0.000
Ba 0.000 0.000 0.000
Pt 0.500 0.500 0.500